1.
An optimized crystal structure of ErPuAl, computed with PBE-GGA.

```
ErPuAl
1.0
3.274 0.000 0.000
0.000 3.274 0.000
-1.637 -1.637 6.873
Er Al Pu
1 1 1
direct
0.268 0.268 0.537
0.617 0.617 0.234
0.964 0.964 0.929
```

Values from the calculation:
ΔE_f in eV/atom: -0.0953
Energy above the most stable polymorph in this dataset in meV per atom: 0
Space-group type: No. 107


2.
An optimized crystal structure of Th3Co7Ni2, computed with PBE-GGA.

```
Th3Co7Ni2
1.0
0.848 -0.108 4.885
2.270 -3.911 2.037
8.562 2.389 1.084
Th Co Ni
3 7 2
direct
0.000 0.000 0.000
0.863 0.863 0.410
0.137 0.137 0.590
0.500 0.500 0.500
0.920 0.419 0.241
0.419 0.920 0.241
0.419 0.419 0.241
0.080 0.581 0.759
0.581 0.581 0.759
0.581 0.080 0.759
0.667 0.667 0.000
0.333 0.333 0.000
```

Values from the calculation:
ΔE_f in eV/atom: -0.2468
Space-group type: No. 166


3.
An optimized crystal structure of Pr2ZnBr2, computed with PBE-GGA.

```
Pr2ZnBr2
1.0
4.037 0.000 0.941
1.909 3.557 0.941
-0.596 -0.357 11.690
Pr Zn Br
2 1 2
direct
0.610 0.610 0.169
0.390 0.390 0.831
0.000 0.000 0.000
0.222 0.222 0.333
0.778 0.778 0.667
```

Values from the calculation:
Space-group type: No. 166
Raw formation energy in meV/atom: -1085


4.
An optimized crystal structure of YHgMoPt2, computed with PBE-GGA.

```
YHgMoPt2
1.0
-3.317 -1.827 -3.335
2.136 -4.734 0.469
-3.192 -1.068 3.759
Y Mo Hg Pt
1 1 1 2
direct
0.000 0.500 0.000
0.500 0.500 0.500
0.000 0.000 0.000
0.000 0.000 0.500
0.500 0.000 0.000
```

Values from the calculation:
ΔE_f in eV/atom: 1.3152
Space-group type: No. 123


5.
An optimized crystal structure of ScNbAl, computed with PBE-GGA.

```
ScNbAl
1.0
-0.286 -2.300 1.655
4.396 0.623 1.627
-3.650 2.042 2.207
Sc Nb Al
1 1 1
direct
0.166 0.000 0.000
0.167 0.333 0.667
0.666 0.667 0.333
```

Values from the calculation:
ΔE_f in eV/atom: -0.0469
Energy above the most stable polymorph in this dataset in meV per atom: 161
Space-group type: No. 187


6.
An optimized crystal structure of CrFePb2, computed with PBE-GGA.

```
CrFePb2
1.0
-1.626 3.113 -3.290
-3.865 -2.775 -0.720
-1.779 1.806 2.588
Cr Fe Pb
1 1 2
direct
0.500 0.000 0.500
0.000 0.500 0.500
0.000 0.000 0.000
0.500 0.500 0.000
```

Values from the calculation:
ΔE_f in eV/atom: 0.6968
Energy above the most stable polymorph in this dataset in meV per atom: 237
Space-group type: No. 123


7.
An optimized crystal structure of TlCo2Ge2, computed with PBE-GGA.

```
TlCo2Ge2
1.0
3.712 0.000 0.000
0.000 3.712 0.000
1.856 1.856 5.754
Tl Co Ge
1 2 2
direct
0.000 0.000 0.000
0.383 0.383 0.234
0.617 0.617 0.766
0.750 0.250 0.500
0.250 0.750 0.500
```

Values from the calculation:
ΔE_f in eV/atom: 0.1396
Energy above the most stable polymorph in this dataset in meV per atom: 28
Space-group type: No. 139


8.
An optimized crystal structure of DyAl10Rh2, computed with PBE-GGA.

```
DyAl10Rh2
1.0
6.838 0.077 0.000
-0.937 6.774 0.000
0.000 0.000 9.159
Dy Al Rh
2 20 4
direct
0.872 0.128 0.750
0.128 0.872 0.250
0.406 0.142 0.750
0.594 0.858 0.250
0.858 0.594 0.750
0.142 0.406 0.250
0.520 0.776 0.750
0.480 0.224 0.250
0.224 0.480 0.750
0.776 0.520 0.250
0.847 0.153 0.398
0.153 0.847 0.898
0.847 0.153 0.102
0.153 0.847 0.602
0.622 0.378 0.948
0.378 0.622 0.448
0.622 0.378 0.552
0.378 0.622 0.052
0.779 0.779 0.000
0.221 0.221 0.500
0.221 0.221 0.000
0.779 0.779 0.500
0.500 0.000 0.000
0.500 0.000 0.500
0.000 0.500 0.500
0.000 0.500 0.000
```

Values from the calculation:
ΔE_f in eV/atom: -0.5629
Space-group type: No. 63


9.
An optimized crystal structure of Ba6Na2Pd, computed with PBE-GGA.

```
Ba6Na2Pd
1.0
7.704 0.003 4.447
2.565 7.265 4.447
0.002 0.001 8.897
Ba Na Pd
6 2 1
direct
0.252 0.252 0.748
0.252 0.748 0.252
0.748 0.252 0.748
0.748 0.252 0.252
0.252 0.748 0.748
0.748 0.748 0.252
0.250 0.250 0.250
0.750 0.750 0.750
0.500 0.500 0.500
```

Values from the calculation:
ΔE_f in eV/atom: -0.1381
Energy above the most stable polymorph in this dataset in meV per atom: 3
Space-group type: No. 12


10.
An optimized crystal structure of AlRePdW2, computed with PBE-GGA.

```
AlRePdW2
1.0
4.736 0.000 0.000
0.000 4.839 0.000
0.000 0.000 4.736
Re Pd W Al
1 1 2 1
direct
0.000 0.000 0.000
0.000 0.500 0.000
0.000 0.000 0.500
0.500 0.000 0.000
0.500 0.500 0.500
```

Values from the calculation:
ΔE_f in eV/atom: 1.7867
Space-group type: No. 123


11.
An optimized crystal structure of CeMg4In5, computed with PBE-GGA.

```
CeMg4In5
1.0
-2.552 0.163 -3.581
0.872 -3.037 -0.760
-12.965 -5.967 8.969
Ce Mg In
1 4 5
direct
0.000 0.000 0.000
0.000 0.000 0.209
0.000 0.000 0.402
0.000 0.000 0.598
0.000 0.000 0.791
0.500 0.500 0.117
0.500 0.500 0.307
0.500 0.500 0.500
0.500 0.500 0.693
0.500 0.500 0.883
```

Values from the calculation:
ΔE_f in eV/atom: -0.1537
Space-group type: No. 47


12.
An optimized crystal structure of YH3Rh, computed with PBE-GGA.

```
YH3Rh
1.0
6.009 0.007 0.000
1.207 3.620 0.000
0.000 0.000 4.778
Y H Rh
2 6 2
direct
0.489 0.060 0.313
0.035 0.786 0.813
0.154 0.227 0.570
0.588 0.010 0.822
0.370 0.619 0.070
0.889 0.359 0.975
0.635 0.486 0.475
0.936 0.836 0.322
0.930 0.339 0.332
0.594 0.507 0.832
```

Values from the calculation:
Total DFT energy (no corrections) in eV per atom: -5.371
Space-group type: No. 36